1.
A plane-wave DFT calculation with PBE was carried out for crystalline TePAuO at its relaxed geometry.

```
TePAuO
1.0
3.7974 0.0000 0.0000
0.0000 5.4870 0.0000
0.0000 0.0000 7.7027
Te P Au O
2 2 2 2
direct
0.0000 0.0347 0.0000
0.0000 0.9653 0.5000
0.5000 0.2742 0.4372
0.5000 0.7258 0.9372
0.5000 0.4372 0.1609
0.5000 0.5628 0.6609
0.0000 0.1506 0.7543
0.0000 0.8494 0.2543
```

Calculated values
E   -4.4050 eV/atom
Space-group type   No. 26

---

2.
A plane-wave DFT calculation with PBE was carried out for crystalline TePAuO at its relaxed geometry.

```
TePAuO
1.0
4.7935 0.0000 0.0000
0.0000 4.7935 0.0000
0.0000 0.0000 7.0208
Te P Au O
2 2 2 2
direct
0.2500 0.7500 0.0000
0.7500 0.2500 0.0000
0.2500 0.2500 0.1647
0.7500 0.7500 0.8353
0.2500 0.2500 0.5072
0.7500 0.7500 0.4928
0.2500 0.7500 0.5000
0.7500 0.2500 0.5000
```

Calculated values
E   -3.6977 eV/atom
Space-group type   No. 129

---

3.
A plane-wave DFT calculation with PBE was carried out for crystalline TePAuO at its relaxed geometry.

```
TePAuO
1.0
4.2901 0.0000 0.0000
0.0000 6.0942 0.0000
0.0000 0.0000 5.9797
Te P Au O
2 2 2 2
direct
0.0000 0.2315 0.0000
0.0000 0.7685 0.5000
0.0000 0.1873 0.4308
0.0000 0.8127 0.9308
0.5000 0.2868 0.5305
0.5000 0.7132 0.0305
0.5000 0.2642 0.9799
0.5000 0.7358 0.4799
```

Calculated values
E   -4.2601 eV/atom
Space-group type   No. 26

---

4.
A plane-wave DFT calculation with PBE was carried out for crystalline TePAuO at its relaxed geometry.

```
TePAuO
1.0
3.8088 0.0000 0.0000
0.0000 3.8088 0.0000
0.0000 0.0000 9.1627
Te P Au O
2 2 2 2
direct
0.2500 0.2500 0.1453
0.7500 0.7500 0.8547
0.2500 0.2500 0.7129
0.7500 0.7500 0.2871
0.2500 0.7500 0.5000
0.7500 0.2500 0.5000
0.2500 0.7500 0.0000
0.7500 0.2500 0.0000
```

Calculated values
E   -4.1062 eV/atom
Space-group type   No. 129

---

5.
A plane-wave DFT calculation with PBE was carried out for crystalline TlPAuO3 at its relaxed geometry.

```
TlPAuO3
1.0
5.9973 -2.8962 0.0000
5.9973 2.8962 0.0000
-4.0820 0.0000 6.0899
Tl P Au O
2 2 2 6
direct
0.2074 0.2074 0.2273
0.7926 0.7926 0.7727
0.4632 0.4632 0.8255
0.5368 0.5368 0.1745
0.2479 0.7521 0.5000
0.7521 0.2479 0.5000
0.2452 0.6982 0.1933
0.3018 0.7548 0.8067
0.3110 0.3110 0.6817
0.6890 0.6890 0.3183
0.6982 0.2452 0.1933
0.7548 0.3018 0.8067
```

Calculated values
E   -5.5485 eV/atom
Space-group type   No. 12

---

6.
A plane-wave DFT calculation with PBE was carried out for crystalline TmPAuO at its relaxed geometry.

```
TmPAuO
1.0
4.1405 0.0000 0.0000
0.0000 6.0526 0.0000
0.0000 0.0000 5.5987
Tm P Au O
2 2 2 2
direct
0.0000 0.2409 0.0000
0.0000 0.7591 0.5000
0.5000 0.0387 0.7211
0.5000 0.9613 0.2211
0.5000 0.3455 0.4210
0.5000 0.6545 0.9210
0.0000 0.4602 0.3050
0.0000 0.5398 0.8050
```

Calculated values
E   -5.6761 eV/atom
Space-group type   No. 26
Size of the total moment   0.001 μB per formula unit

---

7.
A plane-wave DFT calculation with PBE was carried out for crystalline TmPAuO at its relaxed geometry.

```
TmPAuO
1.0
5.4158 0.0000 0.0000
0.0000 5.4158 0.0000
0.0000 0.0000 4.6423
Tm P Au O
2 2 2 2
direct
0.2500 0.7500 0.0000
0.7500 0.2500 0.0000
0.2500 0.2500 0.0022
0.7500 0.7500 0.9978
0.2500 0.2500 0.5026
0.7500 0.7500 0.4974
0.2500 0.7500 0.5000
0.7500 0.2500 0.5000
```

Calculated values
E   -5.5389 eV/atom
Space-group type   No. 129
Size of the total moment   0.002 μB per formula unit

---

8.
A plane-wave DFT calculation with PBE was carried out for crystalline TmPAuO at its relaxed geometry.

```
TmPAuO
1.0
3.7520 0.0000 0.0000
0.0000 7.3364 0.0000
0.0000 0.0000 5.9213
Tm P Au O
2 2 2 2
direct
0.0000 0.2141 0.0000
0.0000 0.7859 0.5000
0.0000 0.1622 0.5014
0.0000 0.8378 0.0014
0.5000 0.3537 0.5077
0.5000 0.6463 0.0077
0.5000 0.3361 0.0065
0.5000 0.6639 0.5065
```

Calculated values
E   -5.7888 eV/atom
Space-group type   No. 26
Size of the total moment   0.003 μB per formula unit

---

9.
A plane-wave DFT calculation with PBE was carried out for crystalline TmPAuO at its relaxed geometry.

```
TmPAuO
1.0
3.9946 0.0000 0.0000
0.0000 3.9946 0.0000
0.0000 0.0000 8.3385
Tm P Au O
2 2 2 2
direct
0.2500 0.2500 0.1214
0.7500 0.7500 0.8786
0.2500 0.2500 0.6946
0.7500 0.7500 0.3054
0.2500 0.7500 0.5000
0.7500 0.2500 0.5000
0.2500 0.7500 0.0000
0.7500 0.2500 0.0000
```

Calculated values
E   -6.0993 eV/atom
Space-group type   No. 129
Size of the total moment   0.002 μB per formula unit

---

10.
A plane-wave DFT calculation with PBE was carried out for crystalline ZnPAuO at its relaxed geometry.

```
ZnPAuO
1.0
4.1013 0.0000 0.0000
0.0000 4.1013 0.0000
0.0000 0.0000 9.0094
Zn P Au O
2 2 2 2
direct
0.2500 0.7500 0.0000
0.7500 0.2500 0.0000
0.2500 0.2500 0.1460
0.7500 0.7500 0.8540
0.2500 0.2500 0.4042
0.7500 0.7500 0.5958
0.2500 0.7500 0.5000
0.7500 0.2500 0.5000
```

Calculated values
E   -3.5308 eV/atom
Space-group type   No. 129

---

11.
A plane-wave DFT calculation with PBE was carried out for crystalline ZnPAuO at its relaxed geometry.

```
ZnPAuO
1.0
4.0806 0.0000 0.0000
0.0000 4.0806 0.0000
0.0000 0.0000 8.5422
Zn P Au O
2 2 2 2
direct
0.2500 0.2500 0.0430
0.7500 0.7500 0.9570
0.2500 0.2500 0.3341
0.7500 0.7500 0.6659
0.2500 0.7500 0.5000
0.7500 0.2500 0.5000
0.2500 0.7500 0.0000
0.7500 0.2500 0.0000
```

Calculated values
E   -4.0109 eV/atom
Space-group type   No. 129

---

12.
A plane-wave DFT calculation with PBE was carried out for crystalline ZnPAuO at its relaxed geometry.

```
ZnPAuO
1.0
3.5719 0.0000 0.0000
0.0000 7.1858 0.0000
0.0000 0.0000 5.1413
Zn P Au O
2 2 2 2
direct
0.0000 0.1425 0.0000
0.0000 0.8575 0.5000
0.5000 0.3562 0.9057
0.5000 0.6438 0.4057
0.5000 0.3217 0.4263
0.5000 0.6783 0.9263
0.0000 0.1081 0.3812
0.0000 0.8919 0.8812
```

Calculated values
E   -3.9441 eV/atom
Space-group type   No. 26

---

13.
A plane-wave DFT calculation with PBE was carried out for crystalline ZnPAuO at its relaxed geometry.

```
ZnPAuO
1.0
3.3541 0.0000 0.0000
0.0000 7.0232 0.0000
0.0000 0.0000 5.4405
Zn P Au O
2 2 2 2
direct
0.0000 0.1997 0.0000
0.0000 0.8003 0.5000
0.0000 0.4623 0.4426
0.0000 0.5377 0.9426
0.5000 0.2277 0.4504
0.5000 0.7723 0.9504
0.5000 0.0849 0.9184
0.5000 0.9151 0.4184
```

Calculated values
E   -3.9848 eV/atom
Space-group type   No. 26

---

14.
A plane-wave DFT calculation with PBE was carried out for crystalline PaAuO3 at its relaxed geometry.

```
PaAuO3
1.0
2.9151 1.6830 5.1120
-2.9151 1.6830 5.1120
0.0000 -3.3661 5.1120
Pa Au O
2 2 6
direct
0.0000 0.0000 0.0000
0.5000 0.5000 0.5000
0.2500 0.2500 0.2500
0.7500 0.7500 0.7500
0.1380 0.7500 0.3620
0.2500 0.6380 0.8620
0.3620 0.1380 0.7500
0.6380 0.8620 0.2500
0.7500 0.3620 0.1380
0.8620 0.2500 0.6380
```

Calculated values
E   -7.3599 eV/atom
Space-group type   No. 167
Size of the total moment   0.000 μB per formula unit

---

15.
A plane-wave DFT calculation with PBE was carried out for crystalline PaAuO3 at its relaxed geometry.

```
PaAuO3
1.0
6.1436 0.0000 0.0000
0.0000 8.5479 0.0000
0.0000 0.0000 5.8445
Pa Au O
4 4 12
direct
0.0000 0.0000 0.0000
0.0000 0.5000 0.0000
0.5000 0.0000 0.5000
0.5000 0.5000 0.5000
0.0690 0.2500 0.4656
0.4310 0.7500 0.9656
0.5690 0.2500 0.0344
0.9310 0.7500 0.5344
0.0326 0.2500 0.1055
0.2133 0.0631 0.7142
0.2133 0.4369 0.7142
0.2867 0.5631 0.2142
0.2867 0.9369 0.2142
0.4674 0.7500 0.6055
0.5326 0.2500 0.3945
0.7133 0.0631 0.7858
0.7133 0.4369 0.7858
0.7867 0.5631 0.2858
0.7867 0.9369 0.2858
0.9674 0.7500 0.8945
```

Calculated values
E   -7.3596 eV/atom
Space-group type   No. 62
Size of the total moment   0.000 μB per formula unit

---

16.
A plane-wave DFT calculation with PBE was carried out for crystalline Pa2Au2O5 at its relaxed geometry.

```
Pa2Au2O5
1.0
3.8739 0.0000 0.0000
0.0000 3.8739 0.0000
0.0000 0.0000 8.0354
Pa Au O
2 2 5
direct
0.0000 0.0000 0.0000
0.0000 0.0000 0.5000
0.5000 0.5000 0.1608
0.5000 0.5000 0.8392
0.0000 0.5000 0.3107
0.0000 0.5000 0.6893
0.5000 0.0000 0.3107
0.5000 0.0000 0.6893
0.5000 0.5000 0.5000
```

Calculated values
E   -6.4517 eV/atom
Space-group type   No. 123
Size of the total moment   0.001 μB per formula unit

---

17.
A plane-wave DFT calculation with PBE was carried out for crystalline Pa2Au2O5 at its relaxed geometry.

```
Pa2Au2O5
1.0
4.2564 0.0000 0.0000
0.0000 4.2564 0.0000
0.0000 0.0000 8.7307
Pa Au O
2 2 5
direct
0.0000 0.0000 0.2455
0.0000 0.0000 0.7545
0.5000 0.5000 0.0000
0.5000 0.5000 0.5000
0.0000 0.0000 0.0000
0.0000 0.5000 0.2223
0.0000 0.5000 0.7777
0.5000 0.0000 0.2223
0.5000 0.0000 0.7777
```

Calculated values
E   -7.1852 eV/atom
Space-group type   No. 123
Size of the total moment   0.000 μB per formula unit

---

18.
A plane-wave DFT calculation with PBE was carried out for crystalline PaAuO3 at its relaxed geometry.

```
PaAuO3
1.0
3.0494 1.7606 4.8011
-3.0494 1.7606 4.8011
0.0000 -3.5211 4.8011
Pa Au O
2 2 6
direct
0.1628 0.1628 0.1628
0.8372 0.8372 0.8372
0.4021 0.4021 0.4021
0.5979 0.5979 0.5979
0.0375 0.4276 0.7996
0.2004 0.9625 0.5724
0.4276 0.7996 0.0375
0.5724 0.2004 0.9625
0.7996 0.0375 0.4276
0.9625 0.5724 0.2004
```

Calculated values
E   -7.2526 eV/atom
Space-group type   No. 148
Size of the total moment   0.000 μB per formula unit

---

19.
A plane-wave DFT calculation with PBE was carried out for crystalline PaAuO3 at its relaxed geometry.

```
PaAuO3
1.0
6.9629 0.0000 0.0000
0.0000 7.2711 0.0000
0.0000 0.0000 6.4172
Pa Au O
4 4 12
direct
0.0356 0.2500 0.0619
0.4644 0.7500 0.5619
0.5356 0.2500 0.4381
0.9644 0.7500 0.9381
0.0000 0.0000 0.5000
0.0000 0.5000 0.5000
0.5000 0.0000 0.0000
0.5000 0.5000 0.0000
0.0230 0.5508 0.1903
0.0230 0.9492 0.1903
0.2297 0.7500 0.7815
0.2703 0.2500 0.2815
0.4770 0.0508 0.6903
0.4770 0.4492 0.6903
0.5230 0.5508 0.3097
0.5230 0.9492 0.3097
0.7297 0.7500 0.7185
0.7703 0.2500 0.2185
0.9770 0.0508 0.8097
0.9770 0.4492 0.8097
```

Calculated values
E   -7.3341 eV/atom
Space-group type   No. 62
Size of the total moment   0.000 μB per formula unit

---

20.
A plane-wave DFT calculation with PBE was carried out for crystalline PaAuO3 at its relaxed geometry.

```
PaAuO3
1.0
3.1987 1.8468 4.0549
-3.1987 1.8468 4.0549
0.0000 -3.6936 4.0549
Pa Au O
2 2 6
direct
0.2500 0.2500 0.2500
0.7500 0.7500 0.7500
0.0000 0.0000 0.0000
0.5000 0.5000 0.5000
0.0759 0.7500 0.4241
0.2500 0.5759 0.9241
0.4241 0.0759 0.7500
0.5759 0.9241 0.2500
0.7500 0.4241 0.0759
0.9241 0.2500 0.5759
```

Calculated values
E   -6.8550 eV/atom
Space-group type   No. 167
Size of the total moment   0.000 μB per formula unit